# 1
# PBE K2NdCu2O4, optimized geometry
data_K2NdCu2O4
_chemical_formula_sum 'K2 Nd1 Cu2 O4'
_symmetry_space_group_name_H-M 'P 1'
_symmetry_Int_Tables_number 1
_cell_length_a 6.977
_cell_length_b 6.977
_cell_length_c 6.481
_cell_angle_alpha 106.19
_cell_angle_beta 106.19
_cell_angle_gamma 29.24
loop_
_symmetry_equiv_pos_as_xyz
'x,y,z'
loop_
_atom_site_label
_atom_site_type_symbol
_atom_site_fract_x
_atom_site_fract_y
_atom_site_fract_z
K1 K 0.129 0.129 0.058
K2 K 0.871 0.871 0.942
Nd1 Nd 0.000 0.000 0.500
Cu1 Cu 0.316 0.316 0.470
Cu2 Cu 0.684 0.684 0.530
O1 O 0.193 0.193 0.669
O2 O 0.461 0.461 0.711
O3 O 0.539 0.539 0.289
O4 O 0.807 0.807 0.331
# - density (g/cm³) = 4.654
# - space group = C2/m, No. 12
# - formation energy without anion corrections (eV/atom) = -1.456
# - uncorrected energy (eV/atom) = -5.343
# - magnetization (μB/cell) = 0.86

---

# 2
# PBE KNd2CuO5, optimized geometry
data_KNd2CuO5
_chemical_formula_sum 'K2 Nd4 Cu2 O10'
_symmetry_space_group_name_H-M 'P 1'
_symmetry_Int_Tables_number 1
_cell_length_a 6.788
_cell_length_b 6.788
_cell_length_c 5.691
_cell_angle_alpha 90.00
_cell_angle_beta 90.00
_cell_angle_gamma 90.00
loop_
_symmetry_equiv_pos_as_xyz
'x,y,z'
loop_
_atom_site_label
_atom_site_type_symbol
_atom_site_fract_x
_atom_site_fract_y
_atom_site_fract_z
K1 K 0.000 0.000 0.000
K2 K 0.500 0.500 0.000
Nd1 Nd 0.178 0.322 0.500
Nd2 Nd 0.322 0.822 0.500
Nd3 Nd 0.678 0.178 0.500
Nd4 Nd 0.822 0.678 0.500
Cu1 Cu 0.000 0.500 0.000
Cu2 Cu 0.500 0.000 0.000
O1 O 0.000 0.000 0.500
O2 O 0.129 0.629 0.241
O3 O 0.129 0.629 0.759
O4 O 0.371 0.129 0.241
O5 O 0.371 0.129 0.759
O6 O 0.500 0.500 0.500
O7 O 0.629 0.871 0.241
O8 O 0.629 0.871 0.759
O9 O 0.871 0.371 0.241
O10 O 0.871 0.371 0.759
# - density (g/cm³) = 5.967
# - space group = P4/mbm, No. 127
# - formation energy without anion corrections (eV/atom) = -2.280
# - uncorrected energy (eV/atom) = -6.671
# - magnetization (μB/cell) = 0.00

---

# 3
# PBE KNd2CuS4, optimized geometry
data_KNd2CuS4
_chemical_formula_sum 'K2 Nd4 Cu2 S8'
_symmetry_space_group_name_H-M 'P 1'
_symmetry_Int_Tables_number 1
_cell_length_a 7.265
_cell_length_b 7.265
_cell_length_c 14.042
_cell_angle_alpha 90.00
_cell_angle_beta 90.00
_cell_angle_gamma 147.43
loop_
_symmetry_equiv_pos_as_xyz
'x,y,z'
loop_
_atom_site_label
_atom_site_type_symbol
_atom_site_fract_x
_atom_site_fract_y
_atom_site_fract_z
K1 K 0.107 0.893 0.750
K2 K 0.893 0.107 0.250
Nd1 Nd 0.365 0.635 0.563
Nd2 Nd 0.365 0.635 0.937
Nd3 Nd 0.635 0.365 0.063
Nd4 Nd 0.635 0.365 0.437
Cu1 Cu 0.163 0.837 0.250
Cu2 Cu 0.837 0.163 0.750
S1 S 0.000 0.000 0.000
S2 S 0.000 0.000 0.500
S3 S 0.263 0.737 0.115
S4 S 0.263 0.737 0.385
S5 S 0.430 0.570 0.750
S6 S 0.570 0.430 0.250
S7 S 0.737 0.263 0.615
S8 S 0.737 0.263 0.885
# - density (g/cm³) = 4.324
# - space group = Cmcm, No. 63
# - formation energy without anion corrections (eV/atom) = -1.634
# - uncorrected energy (eV/atom) = -5.538
# - magnetization (μB/cell) = 0.00

---

# 4
# PBE KNdCuS2, optimized geometry
data_KNdCuS2
_chemical_formula_sum 'K2 Nd2 Cu2 S4'
_symmetry_space_group_name_H-M 'P 1'
_symmetry_Int_Tables_number 1
_cell_length_a 7.469
_cell_length_b 4.678
_cell_length_c 8.121
_cell_angle_alpha 90.00
_cell_angle_beta 101.02
_cell_angle_gamma 90.00
loop_
_symmetry_equiv_pos_as_xyz
'x,y,z'
loop_
_atom_site_label
_atom_site_type_symbol
_atom_site_fract_x
_atom_site_fract_y
_atom_site_fract_z
K1 K 0.000 0.178 0.250
K2 K 0.000 0.822 0.750
Nd1 Nd 0.500 0.490 0.750
Nd2 Nd 0.500 0.510 0.250
Cu1 Cu 0.500 0.000 0.000
Cu2 Cu 0.500 0.000 0.500
S1 S 0.266 0.299 0.962
S2 S 0.266 0.701 0.462
S3 S 0.734 0.299 0.538
S4 S 0.734 0.701 0.038
# - density (g/cm³) = 3.709
# - space group = P2/c, No. 13
# - formation energy without anion corrections (eV/atom) = -1.083
# - uncorrected energy (eV/atom) = -4.726
# - magnetization (μB/cell) = 0.00

---

# 5
# PBE KNd2Cu2S4, optimized geometry
data_KNd2Cu2S4
_chemical_formula_sum 'K1 Nd2 Cu2 S4'
_symmetry_space_group_name_H-M 'P 1'
_symmetry_Int_Tables_number 1
_cell_length_a 7.770
_cell_length_b 7.770
_cell_length_c 7.337
_cell_angle_alpha 113.58
_cell_angle_beta 113.58
_cell_angle_gamma 27.93
loop_
_symmetry_equiv_pos_as_xyz
'x,y,z'
loop_
_atom_site_label
_atom_site_type_symbol
_atom_site_fract_x
_atom_site_fract_y
_atom_site_fract_z
K1 K 0.000 0.000 0.000
Nd1 Nd 0.126 0.126 0.555
Nd2 Nd 0.874 0.874 0.445
Cu1 Cu 0.311 0.311 0.987
Cu2 Cu 0.689 0.689 0.013
S1 S 0.217 0.217 0.237
S2 S 0.460 0.460 0.272
S3 S 0.540 0.540 0.728
S4 S 0.783 0.783 0.763
# - density (g/cm³) = 5.122
# - space group = C2/m, No. 12
# - formation energy without anion corrections (eV/atom) = -1.167
# - uncorrected energy (eV/atom) = -5.093
# - magnetization (μB/cell) = 0.00

---

# 6
# PBE KCuNi4, optimized geometry
data_KCuNi4
_chemical_formula_sum 'K1 Cu1 Ni4'
_symmetry_space_group_name_H-M 'P 1'
_symmetry_Int_Tables_number 1
_cell_length_a 4.937
_cell_length_b 4.937
_cell_length_c 4.937
_cell_angle_alpha 60.00
_cell_angle_beta 60.00
_cell_angle_gamma 60.00
loop_
_symmetry_equiv_pos_as_xyz
'x,y,z'
loop_
_atom_site_label
_atom_site_type_symbol
_atom_site_fract_x
_atom_site_fract_y
_atom_site_fract_z
K1 K 0.000 0.000 0.000
Cu1 Cu 0.250 0.250 0.250
Ni1 Ni 0.128 0.624 0.624
Ni2 Ni 0.624 0.128 0.624
Ni3 Ni 0.624 0.624 0.128
Ni4 Ni 0.624 0.624 0.624
# - density (g/cm³) = 6.585
# - space group = F-43m, No. 216
# - uncorrected energy (eV/atom) = -4.179
# - formation energy from the elements (meV/atom) = 540.8
# - magnetization (μB/cell) = 0.00

---

# 7
# PBE KCu4Ni, optimized geometry
data_KCu4Ni
_chemical_formula_sum 'K1 Cu4 Ni1'
_symmetry_space_group_name_H-M 'P 1'
_symmetry_Int_Tables_number 1
_cell_length_a 5.057
_cell_length_b 5.057
_cell_length_c 5.057
_cell_angle_alpha 60.00
_cell_angle_beta 60.00
_cell_angle_gamma 60.00
loop_
_symmetry_equiv_pos_as_xyz
'x,y,z'
loop_
_atom_site_label
_atom_site_type_symbol
_atom_site_fract_x
_atom_site_fract_y
_atom_site_fract_z
K1 K 0.000 0.000 0.000
Cu1 Cu 0.376 0.376 0.376
Cu2 Cu 0.376 0.376 0.871
Cu3 Cu 0.376 0.871 0.376
Cu4 Cu 0.871 0.376 0.376
Ni1 Ni 0.750 0.750 0.750
# - density (g/cm³) = 6.390
# - space group = F-43m, No. 216
# - uncorrected energy (eV/atom) = -3.421
# - formation energy from the elements (meV/atom) = 456.3
# - magnetization (μB/cell) = 0.04

---

# 8
# PBE K4CuNi, optimized geometry
data_K4CuNi
_chemical_formula_sum 'K4 Cu1 Ni1'
_symmetry_space_group_name_H-M 'P 1'
_symmetry_Int_Tables_number 1
_cell_length_a 7.084
_cell_length_b 7.084
_cell_length_c 7.084
_cell_angle_alpha 60.00
_cell_angle_beta 60.00
_cell_angle_gamma 60.00
loop_
_symmetry_equiv_pos_as_xyz
'x,y,z'
loop_
_atom_site_label
_atom_site_type_symbol
_atom_site_fract_x
_atom_site_fract_y
_atom_site_fract_z
K1 K 0.125 0.125 0.125
K2 K 0.125 0.125 0.625
K3 K 0.125 0.625 0.125
K4 K 0.625 0.125 0.125
Cu1 Cu 0.750 0.750 0.750
Ni1 Ni 0.500 0.500 0.500
# - density (g/cm³) = 1.841
# - space group = F-43m, No. 216
# - uncorrected energy (eV/atom) = -1.462
# - formation energy from the elements (meV/atom) = 915.8
# - magnetization (μB/cell) = 1.03

---

# 9
# PBE KCuNiS2, optimized geometry
data_KCuNiS2
_chemical_formula_sum 'K2 Cu2 Ni2 S4'
_symmetry_space_group_name_H-M 'P 1'
_symmetry_Int_Tables_number 1
_cell_length_a 7.150
_cell_length_b 7.150
_cell_length_c 5.772
_cell_angle_alpha 90.00
_cell_angle_beta 90.00
_cell_angle_gamma 135.87
loop_
_symmetry_equiv_pos_as_xyz
'x,y,z'
loop_
_atom_site_label
_atom_site_type_symbol
_atom_site_fract_x
_atom_site_fract_y
_atom_site_fract_z
K1 K 0.250 0.750 0.751
K2 K 0.750 0.250 0.249
Cu1 Cu 0.000 0.000 0.000
Cu2 Cu 0.500 0.500 0.000
Ni1 Ni 0.250 0.250 0.500
Ni2 Ni 0.750 0.750 0.500
S1 S 0.105 0.895 0.287
S2 S 0.395 0.605 0.287
S3 S 0.605 0.395 0.713
S4 S 0.895 0.105 0.713
# - density (g/cm³) = 3.644
# - space group = Cmme, No. 67
# - formation energy without anion corrections (eV/atom) = -0.522
# - uncorrected energy (eV/atom) = -4.368
# - magnetization (μB/cell) = 3.56

---

# 10
# PBE KCu2NiS4, optimized geometry
data_KCu2NiS4
_chemical_formula_sum 'K1 Cu2 Ni1 S4'
_symmetry_space_group_name_H-M 'P 1'
_symmetry_Int_Tables_number 1
_cell_length_a 6.545
_cell_length_b 6.545
_cell_length_c 6.545
_cell_angle_alpha 129.02
_cell_angle_beta 129.02
_cell_angle_gamma 74.97
loop_
_symmetry_equiv_pos_as_xyz
'x,y,z'
loop_
_atom_site_label
_atom_site_type_symbol
_atom_site_fract_x
_atom_site_fract_y
_atom_site_fract_z
K1 K 0.000 0.000 0.000
Cu1 Cu 0.250 0.750 0.500
Cu2 Cu 0.750 0.250 0.500
Ni1 Ni 0.500 0.500 0.000
S1 S 0.164 0.164 0.641
S2 S 0.476 0.836 0.000
S3 S 0.524 0.524 0.359
S4 S 0.836 0.476 0.000
# - density (g/cm³) = 3.559
# - space group = I-42m, No. 121
# - formation energy without anion corrections (eV/atom) = -0.319
# - uncorrected energy (eV/atom) = -4.267
# - magnetization (μB/cell) = 0.00